[1]
This record from Alexandria via LeMat-Bulk describes a relaxed GdDyTmZr crystal. The functional is GGA-PBE.

Cell: 7.7315 7.7315 7.7315 Å, 90.00 90.00 90.00°
Closest atoms and distances in Å follow each position.
Atoms (fractional coordinates):
Gd 0.0000 0.0000 0.0000  4 Dy 3.35, 4 Tm 3.35
Gd 0.0000 0.5000 0.5000  4 Dy 3.35, 4 Tm 3.35
Gd 0.5000 0.0000 0.5000  4 Dy 3.35, 4 Tm 3.35
Gd 0.5000 0.5000 0.0000  4 Dy 3.35, 4 Tm 3.35
Dy 0.2500 0.2500 0.7500  4 Zr 3.35, 4 Gd 3.35
Dy 0.2500 0.7500 0.2500  4 Zr 3.35, 4 Gd 3.35
Dy 0.7500 0.2500 0.2500  4 Zr 3.35, 4 Gd 3.35
Dy 0.7500 0.7500 0.7500  4 Zr 3.35, 4 Gd 3.35
Tm 0.2500 0.2500 0.2500  4 Gd 3.35, 4 Zr 3.35
Tm 0.2500 0.7500 0.7500  4 Gd 3.35, 4 Zr 3.35
Tm 0.7500 0.2500 0.7500  4 Gd 3.35, 4 Zr 3.35
Tm 0.7500 0.7500 0.2500  4 Gd 3.35, 4 Zr 3.35
Zr 0.0000 0.0000 0.5000  4 Tm 3.35, 4 Dy 3.35
Zr 0.0000 0.5000 0.0000  4 Tm 3.35, 4 Dy 3.35
Zr 0.5000 0.0000 0.0000  4 Tm 3.35, 4 Dy 3.35
Zr 0.5000 0.5000 0.5000  4 Tm 3.35, 4 Dy 3.35

Summary:
Space group: F-43m (216)
Calculated volume in Å³ per atom: 28.88
Mass density in g/cm³: 8.33
Magnetic moment in μB per cell: 20.95
Final energy in eV per atom: -7.720
Formation energy from the elements in kcal/mol of atoms: 4.73



[2]
This record from Alexandria via LeMat-Bulk describes a relaxed Ba2NaZr crystal. The functional is GGA-PBE.

Cell: 9.4779 9.4779 7.4412 Å, 90.00 90.00 90.00°
Closest atoms and distances in Å follow each position.
Atoms (fractional coordinates):
Ba 0.2449 0.2500 0.1250  2 Na 3.45, 2 Zr 3.51, 2 Ba 3.72
Ba 0.2500 0.7449 0.3750  2 Na 3.45, 2 Zr 3.51, 2 Ba 3.72
Ba 0.2500 0.7551 0.8750  2 Na 3.45, 2 Zr 3.51, 2 Ba 3.72
Ba 0.2551 0.2500 0.6250  2 Na 3.45, 2 Zr 3.51, 2 Ba 3.72
Ba 0.7449 0.7500 0.6250  2 Na 3.45, 2 Zr 3.51, 2 Ba 3.72
Ba 0.7500 0.2449 0.8750  2 Na 3.45, 2 Zr 3.51, 2 Ba 3.72
Ba 0.7500 0.2551 0.3750  2 Na 3.45, 2 Zr 3.51, 2 Ba 3.72
Ba 0.7551 0.7500 0.1250  2 Na 3.45, 2 Zr 3.51, 2 Ba 3.72
Na 0.0000 0.0000 0.0000  4 Ba 3.45, 2 Zr 3.72
Na 0.0000 0.5000 0.2500  4 Ba 3.45, 2 Zr 3.72
Na 0.5000 0.0000 0.7500  4 Ba 3.45, 2 Zr 3.72
Na 0.5000 0.5000 0.5000  4 Ba 3.45, 2 Zr 3.72
Zr 0.0000 0.0000 0.5000  4 Ba 3.51, 2 Na 3.72
Zr 0.0000 0.5000 0.7500  4 Ba 3.51, 2 Na 3.72
Zr 0.5000 0.0000 0.2500  4 Ba 3.51, 2 Na 3.72
Zr 0.5000 0.5000 0.0000  4 Ba 3.51, 2 Na 3.72

Summary:
Space group: I-42d (122)
Calculated volume in Å³ per atom: 41.78
Polymorph energy (0 for the lowest one) in eV per atom: 0.157
Mass density in g/cm³: 3.86
Magnetic moment in μB per cell: 9.41
Final energy in eV per atom: -2.660
Formation energy from the elements in kcal/mol of atoms: 17.70